Entry 1:
Below is MnTc2Os after structural relaxation, with properties calculated at the PBE level.

a = 2.922 Å, b = 4.482 Å, c = 8.710 Å
α = 90.00°, β = 90.00°, γ = 90.00°
Space group Cmm2 (No. 35)
Symmetry-distinct sites (fractional):
1 Mn 0.000 0.000 0.000 x2
2 Tc 0.000 0.000 0.497 x2
3 Tc 0.000 0.500 0.241 x2
4 Os 0.000 0.500 0.758 x2

Values from the calculation:
- M_tot: 2.559 μB per formula unit
- Formation enthalpy at 0 K: 0.309 eV per atom
- E above lowest polymorph: 251.7 meV per atom
- DFT total energy: -9.974 eV per atom


Entry 2:
Below is LiEuGdTm after structural relaxation, with properties calculated at the PBE level.

a = 7.918 Å, b = 7.918 Å, c = 7.918 Å
α = 90.00°, β = 90.00°, γ = 90.00°
Space group F-43m (No. 216)
Symmetry-distinct sites (fractional):
1 Li 0.000 0.000 0.000 x4
2 Eu 0.250 0.250 0.750 x4
3 Gd 0.250 0.250 0.250 x4
4 Tm 0.000 0.000 0.500 x4

Values from the calculation:
- M_tot: 14.432 μB per formula unit
- Formation enthalpy at 0 K: 0.199 eV per atom
- DFT total energy: -7.486 eV per atom


Entry 3:
Below is LaCl2 after structural relaxation, with properties calculated at the PBE level.

a = 14.405 Å, b = 3.596 Å, c = 3.592 Å
α = 90.00°, β = 90.07°, γ = 90.00°
Space group C2/m (No. 12)
Symmetry-distinct sites (fractional):
1 La 0.000 0.000 0.000 x2
2 Cl 0.113 0.500 0.501 x4

Values from the calculation:
- M_tot: 0.000 μB per formula unit
- DFT total energy: -4.969 eV per atom
- E_form (uncorrected): -2095.0 meV/atom


Entry 4:
Below is Cs2Rb5 after structural relaxation, with properties calculated at the PBE level.

a = 22.984 Å, b = 8.652 Å, c = 13.554 Å
α = 90.00°, β = 95.33°, γ = 90.00°
Space group C2/c (No. 15)
Symmetry-distinct sites (fractional):
1 Cs 0.074 0.188 0.106 x8
2 Rb 0.000 0.320 0.750 x4
3 Rb 0.148 0.318 0.465 x8
4 Rb 0.213 0.189 0.819 x8

Values from the calculation:
- M_tot: 0.000 μB per formula unit
- Formation enthalpy at 0 K: 0.006 eV per atom
- DFT total energy: -0.929 eV per atom


Entry 5:
Below is Sc3TlPt after structural relaxation, with properties calculated at the PBE level.

a = 5.099 Å, b = 5.099 Å, c = 5.099 Å
α = 90.00°, β = 90.00°, γ = 90.00°
Space group Pm-3m (No. 221)
Symmetry-distinct sites (fractional):
1 Sc 0.000 0.000 0.500 x3
2 Tl 0.500 0.500 0.500 x1
3 Pt 0.000 0.000 0.000 x1

Values from the calculation:
- M_tot: 0.000 μB per formula unit
- Formation enthalpy at 0 K: -0.347 eV per atom
- E above lowest polymorph: 222.6 meV per atom
- DFT total energy: -5.828 eV per atom


Entry 6:
Below is TaRu after structural relaxation, with properties calculated at the PBE level.

a = 5.211 Å, b = 5.211 Å, c = 5.211 Å
α = 90.00°, β = 90.00°, γ = 90.00°
Space group Fm-3m (No. 225)
Symmetry-distinct sites (fractional):
1 Ta 0.000 0.000 0.000 x4
2 Ru 0.000 0.000 0.500 x4

Values from the calculation:
- M_tot: 0.000 μB per formula unit
- Formation enthalpy at 0 K: 0.321 eV per atom
- DFT total energy: -10.243 eV per atom


Entry 7:
Below is LiYBeHg after structural relaxation, with properties calculated at the PBE level.

a = 6.534 Å, b = 6.534 Å, c = 6.534 Å
α = 90.00°, β = 90.00°, γ = 90.00°
Space group F-43m (No. 216)
Symmetry-distinct sites (fractional):
1 Li 0.000 0.000 0.000 x4
2 Y 0.250 0.250 0.750 x4
3 Be 0.000 0.000 0.500 x4
4 Hg 0.250 0.250 0.250 x4

Values from the calculation:
- M_tot: 0.000 μB per formula unit
- Formation enthalpy at 0 K: -0.148 eV per atom
- DFT total energy: -3.249 eV per atom


Entry 8:
Below is Sc2ReW after structural relaxation, with properties calculated at the PBE level.

a = 3.898 Å, b = 3.898 Å, c = 4.698 Å
α = 90.00°, β = 90.00°, γ = 90.00°
Space group P4/mmm (No. 123)
Symmetry-distinct sites (fractional):
1 Sc 0.000 0.500 0.000 x2
2 Re 0.000 0.000 0.500 x1
3 W 0.500 0.500 0.500 x1

Values from the calculation:
- M_tot: 0.000 μB per formula unit
- Formation enthalpy at 0 K: 0.225 eV per atom
- E above lowest polymorph: 281.9 meV per atom
- DFT total energy: -9.291 eV per atom